Here is crystalline MgVHg2F at its relaxed geometry from the Alexandria database. Energies are from PBE+U.

abc: 5.423 5.423 3.955
angles: 90.00 90.00 90.00
Space group P4/mmm (No. 123)
Inequivalent atoms, fractional coordinates:
Mg: 0.000 0.000 0.000 [1 per cell]
V: 0.500 0.500 0.000 [1 per cell]
Hg: 0.000 0.500 0.500 [2 per cell]
F: 0.500 0.500 0.500 [1 per cell]

Volume, Å³/atom: 23.3
Energy, eV per atom: -2.603